3
Lattice="-0.937 3.903 -2.147 -2.702 3.089 1.969 1.752 3.914 1.526" Properties=species:S:1:pos:R:3 comment="LaIrW (PBE, optimized geometry)" dos_ef_per_ev_cell=3.3 relative_energy_ev_per_atom=0.657 e_form_ev_per_atom=0.5935 pbc="T T T"
Ir 0.000 0.000 0.000
La -0.944 5.453 0.674
W -1.415 8.179 1.011